Below is a geometry-optimized MnPPt2S structure, with properties calculated at the PBE level.

Cell: 4.505 4.505 4.571 Å, 90.00 90.00 90.00°
Space group P4/mmm (No. 123)
Symmetry-distinct sites (fractional):
Mn  0.000  0.000  0.000
P  0.500  0.500  0.000
Pt  0.000  0.500  0.500
S  0.500  0.500  0.500

- Raw formation energy: 659 meV per atom
- Mass density: 9.1 g cm⁻³

Below is a geometry-optimized MnP2PtS structure, with properties calculated at the PBE level.

Cell: 4.422 4.422 4.186 Å, 90.00 90.00 90.00°
Space group P4/mmm (No. 123)
Symmetry-distinct sites (fractional):
Mn  0.000  0.000  0.000
P  0.000  0.500  0.000
Pt  0.500  0.500  0.500
S  0.000  0.000  0.500

- Energy above the lowest structure with this stoichiometry: 0.000 eV per atom
- Raw formation energy: 585 meV per atom
- Mass density: 7.0 g cm⁻³

Below is a geometry-optimized Sm3MnP2Pt9 structure, with properties calculated at the PBE level.

Cell: 7.4156 7.4156 6.2391 Å, 90.00 90.00 120.00°
Space group P-3m1 (No. 164)
Symmetry-distinct sites (fractional):
Sm  0.0000  0.0000  0.0000
Sm  0.3333  0.6667  0.6653
Mn  0.0000  0.0000  0.5000
P  0.3333  0.6667  0.1479
Pt  0.0000  0.5000  0.0000
Pt  0.1732  0.3463  0.3335

- Mass density: 13.0 g cm⁻³
- Energy relative to the elements: -0.624 eV per atom

Below is a geometry-optimized Sm2MnP3Pt4 structure, with properties calculated at the PBE level.

Cell: 4.159 4.159 10.250 Å, 90.00 90.00 90.00°
Space group P-4m2 (No. 115)
Symmetry-distinct sites (fractional):
Sm  0.000  0.500  0.240
Mn  0.000  0.000  0.500
P  0.000  0.500  0.865
P  0.500  0.500  0.500
Pt  0.000  0.000  0.000
Pt  0.000  0.500  0.638
Pt  0.500  0.500  0.000

- Mass density: 11.5 g cm⁻³
- Energy relative to the elements: -0.885 eV per atom

Below is a geometry-optimized MnSnPPt structure, with properties calculated at the PBE level.

Cell: 2.994 3.445 13.003 Å, 90.00 90.00 90.00°
Space group Imm2 (No. 44)
Symmetry-distinct sites (fractional):
Mn  0.000  0.000  0.000
Sn  0.000  0.500  0.317
P  0.000  0.000  0.549
Pt  0.000  0.500  0.686

- Energy above the lowest structure with this stoichiometry: 0.052 eV per atom
- Mass density: 9.9 g cm⁻³
- Energy relative to the elements: -0.256 eV per atom

Below is a geometry-optimized MnSnPPt structure, with properties calculated at the PBE level.

Cell: 3.284 3.284 13.459 Å, 90.00 90.00 90.00°
Space group I4mm (No. 107)
Symmetry-distinct sites (fractional):
Mn  0.000  0.000  0.000
Sn  0.000  0.000  0.242
P  0.000  0.000  0.443
Pt  0.000  0.000  0.629

- Energy above the lowest structure with this stoichiometry: 0.074 eV per atom
- Mass density: 9.1 g cm⁻³
- Energy relative to the elements: -0.235 eV per atom

Below is a geometry-optimized MnSnPPt structure, with properties calculated at the PBE level.

Cell: 3.378 3.215 13.021 Å, 90.00 90.00 90.00°
Space group Amm2 (No. 38)
Symmetry-distinct sites (fractional):
Mn  0.000  0.000  0.000
Sn  0.000  0.000  0.794
P  0.500  0.000  0.528
Pt  0.500  0.000  0.170

- Energy above the lowest structure with this stoichiometry: 0.000 eV per atom
- Mass density: 9.4 g cm⁻³
- Energy relative to the elements: -0.308 eV per atom

Below is a geometry-optimized MnSnPPt structure, with properties calculated at the PBE level.

Cell: 3.077 3.456 6.425 Å, 90.00 90.00 90.00°
Space group Pmm2 (No. 25)
Symmetry-distinct sites (fractional):
Mn  0.000  0.000  0.000
Sn  0.500  0.000  0.623
P  0.500  0.500  0.079
Pt  0.000  0.500  0.368

- Energy above the lowest structure with this stoichiometry: 0.045 eV per atom
- Mass density: 9.7 g cm⁻³
- Energy relative to the elements: -0.263 eV per atom

Below is a geometry-optimized MnSnPPt structure, with properties calculated at the PBE level.

Cell: 7.636 3.486 6.451 Å, 90.00 126.07 90.00°
Space group Cm (No. 8)
Symmetry-distinct sites (fractional):
Mn  0.000  0.000  0.000
Sn  0.346  0.500  0.315
P  0.263  0.000  0.920
Pt  0.270  0.000  0.569

- Energy above the lowest structure with this stoichiometry: 0.125 eV per atom
- Mass density: 9.6 g cm⁻³
- Energy relative to the elements: -0.183 eV per atom

Below is a geometry-optimized MnSnPPt structure, with properties calculated at the PBE level.

Cell: 3.8030 3.8030 15.3484 Å, 90.00 90.00 120.00°
Space group R3m (No. 160, hexagonal axes)
Symmetry-distinct sites (fractional):
Mn  0.0000  0.0000  0.0000
Sn  0.0000  0.0000  0.5571
P  0.0000  0.0000  0.3612
Pt  0.0000  0.0000  0.7856

- Energy above the lowest structure with this stoichiometry: 0.107 eV per atom
- Mass density: 10.4 g cm⁻³
- Energy relative to the elements: -0.202 eV per atom

Below is a geometry-optimized MnSnPPt structure, with properties calculated at the PBE level.

Cell: 3.4200 3.4200 6.6304 Å, 90.00 90.00 120.00°
Space group P3m1 (No. 156)
Symmetry-distinct sites (fractional):
Mn  0.0000  0.0000  0.0000
Sn  0.6667  0.3333  0.2965
P  0.3333  0.6667  0.8143
Pt  0.0000  0.0000  0.5946

- Energy above the lowest structure with this stoichiometry: 0.060 eV per atom
- Mass density: 9.9 g cm⁻³
- Energy relative to the elements: -0.249 eV per atom

Below is a geometry-optimized MnSnPPt structure, with properties calculated at the PBE level.

Cell: 3.3087 3.3087 21.1023 Å, 90.00 90.00 120.00°
Space group R3m (No. 160, hexagonal axes)
Symmetry-distinct sites (fractional):
Mn  0.0000  0.0000  0.0000
Sn  0.0000  0.0000  0.4346
P  0.0000  0.0000  0.2749
Pt  0.0000  0.0000  0.8710

- Energy above the lowest structure with this stoichiometry: 0.094 eV per atom
- Mass density: 10.0 g cm⁻³
- Energy relative to the elements: -0.214 eV per atom

Below is a geometry-optimized MnSnPPt structure, with properties calculated at the PBE level.

Cell: 7.823 2.960 5.843 Å, 90.00 97.88 90.00°
Space group Cm (No. 8)
Symmetry-distinct sites (fractional):
Mn  0.000  0.000  0.000
Sn  0.497  0.000  0.603
P  0.288  0.000  0.009
Pt  0.241  0.500  0.324

- Energy above the lowest structure with this stoichiometry: 0.074 eV per atom
- Mass density: 9.9 g cm⁻³
- Energy relative to the elements: -0.234 eV per atom

Below is a geometry-optimized MnSnPPt structure, with properties calculated at the PBE level.

Cell: 4.229 2.997 5.600 Å, 90.00 104.57 90.00°
Space group Pm (No. 6)
Symmetry-distinct sites (fractional):
Mn  0.000  0.000  0.000
Sn  0.539  0.500  0.211
P  0.697  0.500  0.741
Pt  0.134  0.500  0.547

- Energy above the lowest structure with this stoichiometry: 0.183 eV per atom
- Mass density: 9.7 g cm⁻³
- Energy relative to the elements: -0.126 eV per atom

Below is a geometry-optimized MnSnPPt structure, with properties calculated at the PBE level.

Cell: 3.319 3.319 6.091 Å, 90.00 90.00 90.00°
Space group P4mm (No. 99)
Symmetry-distinct sites (fractional):
Mn  0.000  0.000  0.000
Sn  0.000  0.000  0.459
P  0.500  0.500  0.095
Pt  0.500  0.500  0.704

- Energy above the lowest structure with this stoichiometry: 0.009 eV per atom
- Mass density: 9.9 g cm⁻³
- Energy relative to the elements: -0.299 eV per atom

Below is a geometry-optimized MnSn2PPt structure, with properties calculated at the PBE level.

Cell: 5.294 5.294 4.317 Å, 90.00 90.00 90.00°
Space group P4/mmm (No. 123)
Symmetry-distinct sites (fractional):
Mn  0.000  0.000  0.000
Sn  0.000  0.500  0.500
P  0.500  0.500  0.000
Pt  0.500  0.500  0.500

- Mass density: 7.1 g cm⁻³
- Energy relative to the elements: 1.026 eV per atom

Below is a geometry-optimized MnSnPPt structure, with properties calculated at the PBE level.

Cell: 7.555 3.433 5.707 Å, 90.00 92.08 90.00°
Space group Cm (No. 8)
Symmetry-distinct sites (fractional):
Mn  0.000  0.000  0.000
Sn  0.474  0.500  0.459
P  0.199  0.500  0.008
Pt  0.286  0.000  0.724

- Energy above the lowest structure with this stoichiometry: 0.048 eV per atom
- Mass density: 9.0 g cm⁻³
- Energy relative to the elements: -0.260 eV per atom

Below is a geometry-optimized SrMnPPt structure, with properties calculated at the PBE level.

Cell: 3.779 3.779 11.033 Å, 90.00 90.00 90.00°
Space group P4/nmm (No. 129, origin choice 2)
Symmetry-distinct sites (fractional):
Sr  0.250  0.250  0.228
Mn  0.250  0.750  0.500
P  0.250  0.250  0.618
Pt  0.250  0.750  0.000

- Mass density: 7.8 g cm⁻³
- Energy relative to the elements: -0.683 eV per atom

Below is a geometry-optimized Sr2MnP3Pt12 structure, with properties calculated at the PBE level.

Cell: 8.2513 8.2513 18.4566 Å, 90.00 90.00 120.00°
Space group R-3m (No. 166, hexagonal axes)
Symmetry-distinct sites (fractional):
Sr  0.0000  0.0000  0.1107
Mn  0.0000  0.0000  0.5000
P  0.0000  0.5000  0.0000
Pt  0.0089  0.5044  0.1228
Pt  0.0428  0.5214  0.3612

- Mass density: 12.2 g cm⁻³
- Energy relative to the elements: -0.350 eV per atom

Below is a geometry-optimized Tb2MnP3Pt4 structure, with properties calculated at the PBE level.

Cell: 4.085 4.085 10.437 Å, 90.00 90.00 90.00°
Space group P-4m2 (No. 115)
Symmetry-distinct sites (fractional):
Tb  0.000  0.500  0.235
Mn  0.000  0.000  0.500
P  0.000  0.500  0.863
P  0.500  0.500  0.500
Pt  0.000  0.000  0.000
Pt  0.000  0.500  0.641
Pt  0.500  0.500  0.000

- Mass density: 11.9 g cm⁻³
- Energy relative to the elements: -0.877 eV per atom